Ba2H4Pd, optimized geometry, DFT PBE-GGA; density = 5.4 g/cm³; M_tot = 0.0 μB per formula unit; energy above the most stable polymorph in this dataset = 0.00 kcal/mol of atoms
1.0
-4.814 3.204 0.033
-4.427 -6.638 -1.281
-0.849 -1.380 10.086
Pd H Ba
4 16 8
direct
0.250 0.258 0.418
0.750 0.242 0.918
0.750 0.742 0.582
0.250 0.758 0.082
0.750 0.523 0.611
0.008 0.820 0.656
0.492 0.820 0.656
0.750 0.828 0.420
0.750 0.023 0.889
0.250 0.977 0.111
0.492 0.320 0.844
0.750 0.328 0.080
0.008 0.320 0.844
0.508 0.180 0.344
0.992 0.680 0.156
0.250 0.477 0.389
0.508 0.680 0.156
0.250 0.672 0.920
0.250 0.172 0.580
0.992 0.180 0.344
0.250 0.511 0.667
0.750 0.489 0.333
0.750 0.989 0.167
0.750 0.647 0.905
0.250 0.011 0.833
0.250 0.853 0.405
0.750 0.147 0.595
0.250 0.353 0.095

---

Ba2H3Pd, optimized geometry, DFT PBE-GGA; density = 4.8 g/cm³; calculated total energy = -3.617 eV/atom; M_tot = 0.0 μB per formula unit; DOS(E_F) = 0.23 states/eV/atom
1.0
-4.680 -2.809 -1.847
4.106 0.399 -4.023
4.446 -6.012 5.490
Ba H Pd
4 6 2
direct
0.742 0.622 0.874
0.248 0.868 0.626
0.752 0.132 0.374
0.258 0.378 0.126
0.249 0.362 0.622
0.760 0.374 0.122
0.207 0.957 0.250
0.240 0.626 0.878
0.751 0.638 0.378
0.793 0.043 0.750
0.941 0.691 0.250
0.059 0.309 0.750

---

Ba3H9Pd2, optimized geometry, DFT PBE-GGA; density = 5.4 g/cm³; calculated total energy = -3.749 eV/atom; M_tot = 0.0 μB per formula unit; DOS(E_F) = 0.10 states/eV/atom
1.0
5.660 0.000 0.000
-2.830 4.902 0.000
0.000 0.000 6.976
Pd H Ba
2 9 3
direct
0.667 0.333 0.159
0.333 0.667 0.841
0.818 0.637 0.302
0.500 0.000 0.000
0.182 0.363 0.698
0.818 0.182 0.302
0.500 0.500 0.000
0.000 0.500 0.000
0.363 0.182 0.302
0.182 0.818 0.698
0.637 0.818 0.698
0.667 0.333 0.655
0.000 0.000 0.000
0.333 0.667 0.345

---

BaHPd2, optimized geometry, DFT PBE-GGA; density = 7.8 g/cm³; M_tot = 0.0 μB per formula unit; DOS(E_F) = 0.08 states/eV/atom; energy above the most stable polymorph in this dataset = 0.00 kcal/mol of atoms
1.0
-5.719 -0.963 1.329
1.210 -5.729 1.059
-1.472 -2.436 5.220
Pd Ba H
4 2 2
direct
0.375 0.625 0.250
0.875 0.625 0.750
0.375 0.625 0.750
0.375 0.125 0.250
0.750 0.250 0.500
0.000 0.000 0.000
0.250 0.750 0.500
0.500 0.500 0.000

---

Which value of M_tot does entry 1 give?
0.0 μB per formula unit

---

Which of these has the highest density?
BaHPd2